The following is a DFT calculation (GGA-PBE) of an optimized crystal structure of NbOsPd3.

Computed properties:
Density, g/cm³: 9.4
Excess energy over the best structure of this formula in the dataset, eV/f.u.: 0.00
Magnetic moment, μB/f.u.: 0.00
Space group: Pm-3m

```
NbOsPd3
1.0
-1.5087 2.7767 3.5328
3.3183 -1.8243 2.8510
3.0298 3.3807 -1.3632
Os Pd Nb
1 3 1
Direct
0.0000 0.0000 0.0000
0.0000 0.0000 0.5000
0.0000 0.5000 0.0000
0.5000 0.0000 0.0000
0.5000 0.5000 0.5000
```